VASP calculation (GGA-PBE) on Ac2La3Cu2Pd4 after structural relaxation.

Cell and atoms, written as CIF:
```
data_Ac2La3Cu2Pd4
_space_group_name_H-M_alt 'P -3 m 1'
_space_group_IT_number 164
_space_group_name_Hall '-P 3 2"'
_cell_length_a 4.4422
_cell_length_b 4.4422
_cell_length_c 17.7025
_cell_angle_alpha 90.00
_cell_angle_beta 90.00
_cell_angle_gamma 120.00
loop_
_atom_site_label
_atom_site_type_symbol
_atom_site_fract_x
_atom_site_fract_y
_atom_site_fract_z
Ac1 Ac 0.3333 0.6667 0.0964
La1 La 0.0000 0.0000 0.2844
La2 La 0.0000 0.0000 0.5000
Cu1 Cu 0.3333 0.6667 0.6108
Pd1 Pd 0.3333 0.6667 0.3909
Pd2 Pd 0.3333 0.6667 0.8116
```

Calculated values
Spin magnetization   0.00 μB/f.u.
Formation energy from the elements   -56.1 kJ per mole of atoms
VASP energy   -5.31 eV/atom